(1)
This record from Alexandria via LeMat-Bulk describes a relaxed structure of Ca2FeCl4. The functional is PBE.

Output
Uncorrected formation energy ... -8.57 eV per formula unit

a = 4.689 Å, b = 4.689 Å, c = 14.513 Å
α = 90.00°, β = 90.00°, γ = 90.00°
Space group I4/mmm (No. 139)
Asymmetric unit:
Ca  0.000  0.000  0.125 x4
Fe  0.000  0.000  0.500 x2
Cl  0.000  0.000  0.312 x4
Cl  0.000  0.500  0.000 x4

(2)
This record from Alexandria via LeMat-Bulk describes a relaxed structure of Mn2TlAs. The functional is PBE.

Output
Offset from the most stable computed form ... 0.0 meV per atom
E_form ... 0.200 eV/atom

a = 3.235 Å, b = 3.235 Å, c = 7.242 Å
α = 90.00°, β = 90.00°, γ = 90.00°
Space group P4mm (No. 99)
Asymmetric unit:
Mn  0.000  0.000  0.000 x1
Mn  0.500  0.500  0.210 x1
Tl  0.000  0.000  0.469 x1
As  0.500  0.500  0.859 x1

(3)
This record from Alexandria via LeMat-Bulk describes a relaxed structure of AsRu2F. The functional is PBE.

Output
Uncorrected formation energy ... -0.56 eV per formula unit
Offset from the most stable computed form ... 0.0 meV per atom

a = 5.925 Å, b = 5.925 Å, c = 5.925 Å
α = 90.00°, β = 90.00°, γ = 90.00°
Space group Fm-3m (No. 225)
Asymmetric unit:
As  0.000  0.000  0.000 x4
Ru  0.250  0.250  0.250 x8
F  0.000  0.000  0.500 x4

(4)
This record from Alexandria via LeMat-Bulk describes a relaxed structure of SnAsF3. The functional is PBE.

Output
Uncorrected formation energy ... -5.49 eV per formula unit
Offset from the most stable computed form ... 102.8 meV per atom

a = 4.439 Å, b = 4.439 Å, c = 4.439 Å
α = 90.00°, β = 90.00°, γ = 90.00°
Space group Pm-3m (No. 221)
Asymmetric unit:
Sn  0.000  0.000  0.000 x1
As  0.500  0.500  0.500 x1
F  0.000  0.500  0.500 x3

(5)
This record from Alexandria via LeMat-Bulk describes a relaxed structure of Ba3HoRu2O9. The functional is PBE.

Output
Uncorrected formation energy ... -33.27 eV per formula unit
Offset from the most stable computed form ... 0.0 meV per atom

a = 5.9506 Å, b = 5.9506 Å, c = 14.5623 Å
α = 90.00°, β = 90.00°, γ = 120.00°
Space group P6_3/mmc (No. 194)
Asymmetric unit:
Ba  0.0000  0.0000  0.2500 x2
Ba  0.3333  0.6667  0.0938 x4
Ho  0.0000  0.0000  0.0000 x2
Ru  0.3333  0.6667  0.6642 x4
O  0.0193  0.5097  0.7500 x6
O  0.1758  0.3515  0.5877 x12

(6)
This record from Alexandria via LeMat-Bulk describes a relaxed structure of CaCe2ScAs4. The functional is PBE.

Output
E_form ... -1.322 eV/atom

a = 7.066 Å, b = 4.163 Å, c = 7.241 Å
α = 90.00°, β = 109.73°, γ = 90.00°
Space group P2/m (No. 10)
Asymmetric unit:
Ca  0.000  0.000  0.000 x1
Ce  0.500  0.000  0.500 x1
Ce  0.500  0.500  0.000 x1
Sc  0.000  0.500  0.500 x1
As  0.240  0.000  0.736 x2
As  0.250  0.500  0.262 x2

(7)
This record from Alexandria via LeMat-Bulk describes a relaxed structure of MgRe2SbCl. The functional is PBE.

Output
Uncorrected formation energy ... 8.06 eV per formula unit

a = 4.384 Å, b = 4.384 Å, c = 5.375 Å
α = 90.00°, β = 90.00°, γ = 90.00°
Space group P4/mmm (No. 123)
Asymmetric unit:
Mg  0.000  0.000  0.000 x1
Re  0.000  0.500  0.500 x2
Sb  0.500  0.500  0.000 x1
Cl  0.500  0.500  0.500 x1

(8)
This record from Alexandria via LeMat-Bulk describes a relaxed structure of TcIr2Au. The functional is PBE.

Output
Offset from the most stable computed form ... 180.3 meV per atom
E_form ... 0.202 eV/atom

a = 3.917 Å, b = 3.917 Å, c = 7.924 Å
α = 90.00°, β = 90.00°, γ = 90.00°
Space group I4/mmm (No. 139)
Asymmetric unit:
Tc  0.000  0.000  0.000 x2
Ir  0.000  0.500  0.250 x4
Au  0.000  0.000  0.500 x2

(9)
This record from Alexandria via LeMat-Bulk describes a relaxed structure of La3Pr3In. The functional is PBE.

Output
Offset from the most stable computed form ... 0.0 meV per atom
E_form ... -0.124 eV/atom

a = 9.7083 Å, b = 9.7083 Å, c = 5.8375 Å
α = 90.00°, β = 90.00°, γ = 120.00°
Space group P6_3/m (No. 176)
Asymmetric unit:
La  0.1107  0.4826  0.2500 x6
Pr  0.0646  0.2465  0.7500 x6
In  0.3333  0.6667  0.7500 x2

(10)
This record from Alexandria via LeMat-Bulk describes a relaxed structure of TaSnBr3. The functional is PBE.

Output
Uncorrected formation energy ... 4.03 eV per formula unit
Offset from the most stable computed form ... 615.4 meV per atom

a = 5.716 Å, b = 5.716 Å, c = 5.716 Å
α = 90.00°, β = 90.00°, γ = 90.00°
Space group Pm-3m (No. 221)
Asymmetric unit:
Ta  0.000  0.000  0.000 x1
Sn  0.500  0.500  0.500 x1
Br  0.000  0.500  0.500 x3

(11)
This record from Alexandria via LeMat-Bulk describes a relaxed structure of B2C. The functional is PBE.

Output
Offset from the most stable computed form ... 320.5 meV per atom
E_form ... 0.506 eV/atom

a = 9.109 Å, b = 2.699 Å, c = 7.474 Å
α = 90.00°, β = 116.38°, γ = 90.00°
Space group Cm (No. 8)
Asymmetric unit:
B  0.000  0.000  0.000 x2
B  0.002  0.500  0.190 x2
B  0.090  0.000  0.393 x2
B  0.124  0.500  0.857 x2
B  0.200  0.500  0.400 x2
B  0.278  0.000  0.609 x2
B  0.309  0.500  0.803 x2
B  0.462  0.500  0.529 x2
C  0.171  0.000  0.982 x2
C  0.317  0.000  0.184 x2
C  0.322  0.500  0.296 x2
C  0.476  0.000  0.643 x2